Density functional theory data (PBE) for BaTcHg2 after structural relaxation.

Cell lengths 3.786, 3.779, 7.617 Å; angles 90.00, 90.00, 90.00 degrees
Each line ends with the local moment (μB).
Fractional coordinates of all 4 atoms:
Tc (0.000, 0.000, 0.412)  0.68
Ba (0.500, 0.500, 0.734)  -0.02
Hg (0.500, 0.500, 0.308)  -0.01
Hg (0.000, 0.000, 0.047)  -0.01

Calculated formation energy, eV/atom: 0.422
ΔE to the lowest computed polymorph, kJ/mol of atoms: 42.7